Arrangement 1

The following is a GGA-PBE calculation of crystalline MnTe2As2 at its relaxed geometry, from the Alexandria database.

a = 4.0149 Å, b = 4.0149 Å, c = 10.3668 Å
α = 78.83°, β = 78.83°, γ = 90.00°
Site moments in Bohr magnetons follow the coordinates.
Sites, in units of the cell vectors:
As: 0.4411 0.4411 0.1178  0.06
As: 0.5589 0.5589 0.8822  0.06
Te: 0.7500 0.2500 0.5000  0.04
Te: 0.2500 0.7500 0.5000  0.04
Mn: 0.0000 0.0000 0.0000  -4.17

Computed properties:
SG: I4/mmm (139)
Magnetization (μB per atom): 0.832


Arrangement 2

The following is a GGA-PBE calculation of crystalline MnTe2As2 at its relaxed geometry, from the Alexandria database.

a = 6.3770 Å, b = 6.3770 Å, c = 6.0879 Å
α = 90.00°, β = 90.00°, γ = 90.00°
Site moments in Bohr magnetons follow the coordinates.
Sites, in units of the cell vectors:
As: 0.3580 0.8580 0.0000  -0.12
As: 0.8580 0.6420 0.0000  -0.12
As: 0.6420 0.1420 0.0000  -0.12
As: 0.1420 0.3580 0.0000  -0.12
Te: 0.3351 0.8351 0.5000  0.01
Te: 0.8351 0.6649 0.5000  0.02
Te: 0.6649 0.1649 0.5000  0.01
Te: 0.1649 0.3351 0.5000  0.02
Mn: 0.0000 0.0000 0.0000  3.29
Mn: 0.5000 0.5000 0.0000  3.31

Computed properties:
SG: P4/mbm (127)
Magnetization (μB per atom): 0.643


arrangement 2 is the most stable structure; the next one sits 358 meV/atom above it.